Below is a crystal of TlZnPt relaxed with PBEsol, with properties calculated at the SCAN level.

Cell lengths 4.415, 4.415, 4.415 Å; angles 60.00, 60.00, 60.00 degrees
Atoms (fractional coordinates):
1 Pt 0.500 0.500 0.500
2 Tl 0.750 0.750 0.750
3 Zn 0.000 0.000 0.000

Summary:
Formation enthalpy at 0 K = 0.306 eV per atom
Calculated total energy = -51.716 eV per atom
Total moment = 0.00 μB per formula unit

Below is a crystal of NdMn4Cu3O12 relaxed with PBEsol, with properties calculated at the SCAN level.

Cell lengths 6.245, 6.245, 6.245 Å; angles 109.47, 109.47, 109.47 degrees
Last column: magnetic moment on the atom in μB.
Atoms (fractional coordinates):
1 Mn 0.000 0.000 0.500  2.95
2 Mn 0.500 0.000 0.000  2.95
3 O 0.519 0.821 0.699  -0.02
4 O 0.179 0.699 0.878  -0.02
5 Nd 0.000 0.000 0.000  0.00
6 O 0.821 0.699 0.519  -0.02
7 O 0.179 0.301 0.481  -0.02
8 O 0.878 0.179 0.699  -0.02
9 O 0.122 0.821 0.301  -0.02
10 O 0.699 0.519 0.821  -0.02
11 Cu 0.000 0.500 0.500  -0.61
12 Mn 0.500 0.500 0.500  2.95
13 O 0.821 0.301 0.122  -0.02
14 O 0.301 0.481 0.179  -0.02
15 O 0.481 0.179 0.301  -0.02
16 Cu 0.500 0.500 0.000  -0.61
17 Cu 0.500 0.000 0.500  -0.61
18 O 0.699 0.878 0.179  -0.02
19 O 0.301 0.122 0.821  -0.02
20 Mn 0.000 0.500 0.000  2.95

Summary:
Calculated total energy = -13.848 eV per atom
Uncorrected formation energy = -1.999 eV per atom
Total moment = 10.02 μB per formula unit

Below is a crystal of ZrTa2In relaxed with PBEsol, with properties calculated at the SCAN level.

Cell lengths 2.953, 4.557, 5.977 Å; angles 90.00, 104.99, 90.00 degrees
Atoms (fractional coordinates):
1 Ta 0.952 0.000 0.016
2 Zr 0.526 0.000 0.480
3 Ta 0.787 0.500 0.244
4 In 0.235 0.500 0.760

Summary:
Formation enthalpy at 0 K = 0.018 eV per atom
Calculated total energy = -49.295 eV per atom
Total moment = 0.00 μB per formula unit

Below is a crystal of Pt2Pb relaxed with PBEsol, with properties calculated at the SCAN level.

Cell lengths 5.168, 5.798, 5.168 Å; angles 63.53, 90.00, 116.47 degrees
Atoms (fractional coordinates):
1 Pb 0.750 0.500 0.250
2 Pt 0.817 0.000 0.683
3 Pb 0.250 0.500 0.750
4 Pt 0.183 0.000 0.317
5 Pt 0.683 0.000 0.183
6 Pt 0.317 0.000 0.817

Summary:
Formation enthalpy at 0 K = -0.090 eV per atom
Calculated total energy = -72.145 eV per atom
Total moment = 0.00 μB per formula unit

Below is a crystal of MgZn3 relaxed with PBEsol, with properties calculated at the SCAN level.

Cell lengths 4.444, 4.444, 4.444 Å; angles 60.00, 60.00, 60.00 degrees
Atoms (fractional coordinates):
1 Mg 0.500 0.500 0.500
2 Zn 0.750 0.750 0.750
3 Zn 0.000 0.000 0.000
4 Zn 0.250 0.250 0.250

Summary:
Formation enthalpy at 0 K = -0.033 eV per atom
Calculated total energy = -11.413 eV per atom
Total moment = 0.00 μB per formula unit

Below is a crystal of SiMoAs relaxed with PBEsol, with properties calculated at the SCAN level.

Cell lengths 4.168, 4.168, 4.168 Å; angles 60.00, 60.00, 60.00 degrees
Atoms (fractional coordinates):
1 As 0.250 0.250 0.250
2 Mo 0.000 0.000 0.000
3 Si 0.500 0.500 0.500

Summary:
Polymorph energy (0 for the lowest one) = 700.6 meV/atom
Calculated total energy = -20.986 eV per atom
Uncorrected formation energy = 0.711 eV per atom
Total moment = 0.00 μB per formula unit

Below is a crystal of Ho9B5S21 relaxed with PBEsol, with properties calculated at the SCAN level.

Cell lengths 10.975, 10.975, 10.975 Å; angles 95.28, 95.28, 95.28 degrees
Atoms (fractional coordinates):
1 B 0.581 0.912 0.264
2 S 0.965 0.652 0.303
3 S 0.303 0.965 0.652
4 B 0.707 0.707 0.707
5 S 0.155 0.467 0.798
6 S 0.424 0.522 0.942
7 S 0.681 0.563 0.134
8 S 0.158 0.021 0.936
9 S 0.261 0.530 0.356
10 S 0.652 0.303 0.965
11 S 0.563 0.134 0.681
12 S 0.903 0.008 0.739
13 S 0.604 0.828 0.696
14 S 0.021 0.936 0.158
15 S 0.530 0.356 0.261
16 S 0.008 0.739 0.903
17 S 0.219 0.826 0.343
18 S 0.343 0.219 0.826
19 S 0.088 0.230 0.311
20 S 0.696 0.604 0.828
21 Ho 0.082 0.862 0.725
22 S 0.826 0.343 0.219
23 Ho 0.923 0.535 0.760
24 Ho 0.192 0.425 0.547
25 S 0.482 0.006 0.905
26 S 0.356 0.261 0.530
27 B 0.207 0.207 0.207
28 Ho 0.757 0.519 0.371
29 Ho 0.547 0.192 0.425
30 S 0.739 0.903 0.008
31 Ho 0.841 0.081 0.228
32 S 0.905 0.482 0.006
33 S 0.554 0.640 0.417
34 B 0.028 0.028 0.028
35 S 0.417 0.554 0.640
36 S 0.522 0.942 0.424
37 Ho 0.519 0.371 0.757
38 S 0.942 0.424 0.522
39 Ho 0.371 0.757 0.519
40 S 0.936 0.158 0.021
41 S 0.798 0.155 0.467
42 Ho 0.062 0.449 0.203
43 S 0.006 0.905 0.482
44 B 0.527 0.527 0.527
45 S 0.134 0.681 0.563
46 Ho 0.081 0.228 0.841
47 Ho 0.203 0.062 0.449
48 S 0.828 0.696 0.604
49 B 0.264 0.581 0.912
50 Ho 0.862 0.725 0.082
51 S 0.230 0.311 0.088
52 Ho 0.725 0.082 0.862
53 S 0.640 0.417 0.554
54 Ho 0.228 0.841 0.081
55 S 0.075 0.207 0.600
56 S 0.207 0.600 0.075
57 B 0.761 0.419 0.077
58 B 0.077 0.761 0.419
59 Ho 0.760 0.923 0.535
60 S 0.311 0.088 0.230
61 S 0.856 0.292 0.742
62 Ho 0.449 0.203 0.062
63 Ho 0.425 0.547 0.192
64 S 0.600 0.075 0.207
65 S 0.742 0.856 0.292
66 B 0.419 0.077 0.761
67 Ho 0.535 0.760 0.923
68 S 0.292 0.742 0.856
69 S 0.467 0.798 0.155
70 B 0.912 0.264 0.581

Summary:
Calculated total energy = -21.110 eV per atom
Uncorrected formation energy = -1.675 eV per atom
Total moment = 0.00 μB per formula unit

Below is a crystal of NaTeHN2 relaxed with PBEsol, with properties calculated at the SCAN level.

Cell lengths 3.568, 4.119, 4.119 Å; angles 90.00, 90.00, 90.00 degrees
Last column: magnetic moment on the atom in μB.
Atoms (fractional coordinates):
1 H 0.000 0.000 0.000  0.01
2 Te 0.500 0.000 0.000  -0.06
3 N 0.000 0.500 0.000  0.72
4 N 0.000 0.000 0.500  0.72
5 Na 0.500 0.500 0.500  -0.01

Summary:
Calculated total energy = -11.117 eV per atom
Total moment = 1.85 μB per formula unit

Below is a crystal of BaTlNi2 relaxed with PBEsol, with properties calculated at the SCAN level.

Cell lengths 4.440, 4.441, 5.962 Å; angles 68.11, 68.14, 60.01 degrees
Atoms (fractional coordinates):
1 Ni 0.184 0.683 0.950
2 Ni 0.816 0.317 0.050
3 Ba 0.000 0.500 0.500
4 Tl 0.500 0.000 0.000

Summary:
Formation enthalpy at 0 K = -0.033 eV per atom
Calculated total energy = -36.097 eV per atom
Total moment = 0.00 μB per formula unit

Below is a crystal of GaPt relaxed with PBEsol, with properties calculated at the SCAN level.

Cell lengths 4.899, 4.899, 4.899 Å; angles 90.00, 90.00, 90.00 degrees
Atoms (fractional coordinates):
1 Pt 0.352 0.852 0.648
2 Ga 0.157 0.343 0.657
3 Ga 0.657 0.157 0.343
4 Pt 0.148 0.148 0.148
5 Pt 0.648 0.352 0.852
6 Ga 0.843 0.843 0.843
7 Ga 0.343 0.657 0.157
8 Pt 0.852 0.648 0.352

Summary:
Formation enthalpy at 0 K = -0.698 eV per atom
Calculated total energy = -43.968 eV per atom
Total moment = 0.00 μB per formula unit

Below is a crystal of TaRu2W relaxed with PBEsol, with properties calculated at the SCAN level.

Cell lengths 2.901, 3.603, 5.745 Å; angles 90.00, 90.00, 90.00 degrees
Atoms (fractional coordinates):
1 Ru 0.000 0.000 0.255
2 W 0.500 0.500 0.500
3 Ru 0.000 0.000 0.745
4 Ta 0.500 0.500 0.000

Summary:
Polymorph energy (0 for the lowest one) = 0.0 meV/atom
Formation enthalpy at 0 K = -0.083 eV per atom
Calculated total energy = -51.564 eV per atom
Total moment = 0.00 μB per formula unit

Below is a crystal of Y5Hg relaxed with PBEsol, with properties calculated at the SCAN level.

Cell lengths 3.688, 6.322, 8.372 Å; angles 111.28, 90.00, 106.96 degrees
Atoms (fractional coordinates):
1 Y 0.028 0.056 0.556
2 Y 0.697 0.395 0.361
3 Hg 0.027 0.055 0.055
4 Y 0.672 0.344 0.913
5 Y 0.384 0.767 0.198
6 Y 0.358 0.716 0.749

Summary:
Polymorph energy (0 for the lowest one) = 3.0 meV/atom
Formation enthalpy at 0 K = -0.222 eV per atom
Calculated total energy = -34.786 eV per atom
Total moment = 0.00 μB per formula unit

Question: Among the records above, which one has the highest calculated total energy?
Answer: NaTeHN2

Question: Number 3 is which compound?
Answer: ZrTa2In

Question: The highest calculated total energy belongs to which entry?
Answer: NaTeHN2